(1)
DFT (GGA-PBE) results for a geometry-optimized CoAgPd2N structure.

a = 4.350 Å, b = 4.350 Å, c = 3.563 Å
α = 90.00°, β = 90.00°, γ = 90.00°
Fractional positions:
Co (0.000, 0.000, 0.000)
Ag (0.500, 0.500, 0.000)
Pd (0.000, 0.500, 0.500)
Pd (0.500, 0.000, 0.500)
N (0.000, 0.000, 0.500)

symmetry: P4/mmm (123)
energy: -5.60 eV/atom
formation energy without anion corrections: 0.13 eV per atom



(2)
DFT (GGA-PBE) results for a geometry-optimized TcAgMo2 structure.

a = 2.710 Å, b = 2.710 Å, c = 9.208 Å
α = 90.00°, β = 90.00°, γ = 108.33°
Fractional positions:
Tc (0.000, 0.000, 0.000)
Ag (0.500, 0.500, 0.737)
Mo (0.000, 0.000, 0.473)
Mo (0.500, 0.500, 0.232)

formation energy from the elements: 0.27 eV/atom
symmetry: Cmm2 (35)
E above lowest polymorph: 0.000 eV/atom
energy: -8.45 eV/atom



(3)
DFT (GGA-PBE) results for a geometry-optimized Sr2AgSn structure.

a = 7.421 Å, b = 7.421 Å, c = 7.421 Å
α = 151.25°, β = 129.79°, γ = 58.89°
Fractional positions:
Sr (0.233, 0.233, 0.000)
Sr (0.767, 0.767, 0.000)
Ag (0.000, 0.000, 0.000)
Sn (0.500, 0.500, 0.000)

formation energy from the elements: 0.39 eV/atom
symmetry: Immm (71)
energy: -2.17 eV/atom



(4)
DFT (GGA-PBE) results for a geometry-optimized Sm3Ge2Rh6 structure.

a = 8.106 Å, b = 8.106 Å, c = 8.106 Å
α = 109.47°, β = 109.47°, γ = 109.47°
Fractional positions:
Sm (0.000, 0.285, 0.285)
Sm (0.000, 0.715, 0.715)
Sm (0.285, 0.000, 0.285)
Sm (0.285, 0.285, 0.000)
Sm (0.715, 0.000, 0.715)
Sm (0.715, 0.715, 0.000)
Ge (0.000, 0.000, 0.500)
Ge (0.000, 0.500, 0.000)
Ge (0.500, 0.000, 0.000)
Ge (0.500, 0.500, 0.500)
Rh (0.000, 0.345, 0.655)
Rh (0.000, 0.655, 0.345)
Rh (0.311, 0.655, 0.655)
Rh (0.345, 0.000, 0.655)
Rh (0.345, 0.345, 0.689)
Rh (0.345, 0.655, 0.000)
Rh (0.345, 0.689, 0.345)
Rh (0.655, 0.000, 0.345)
Rh (0.655, 0.311, 0.655)
Rh (0.655, 0.345, 0.000)
Rh (0.655, 0.655, 0.311)
Rh (0.689, 0.345, 0.345)

formation energy from the elements: -0.69 eV/atom
symmetry: Im-3m (229)
energy: -6.83 eV/atom



(5)
DFT (GGA-PBE) results for a geometry-optimized PrTlGe2Br8 structure.

a = 6.769 Å, b = 7.302 Å, c = 9.342 Å
α = 85.96°, β = 87.53°, γ = 86.39°
Fractional positions:
Pr (0.000, 0.000, 0.000)
Tl (0.000, 0.000, 0.500)
Ge (0.459, 0.461, 0.751)
Ge (0.541, 0.539, 0.249)
Br (0.237, 0.817, 0.779)
Br (0.246, 0.327, 0.970)
Br (0.266, 0.850, 0.225)
Br (0.272, 0.360, 0.553)
Br (0.728, 0.640, 0.447)
Br (0.734, 0.150, 0.775)
Br (0.754, 0.673, 0.030)
Br (0.763, 0.183, 0.221)

symmetry: P-1 (2)
energy: -3.50 eV/atom
formation energy without anion corrections: -1.02 eV per atom



(6)
DFT (GGA-PBE) results for a geometry-optimized La2TaMo structure.

a = 4.550 Å, b = 4.550 Å, c = 7.680 Å
α = 93.88°, β = 93.88°, γ = 42.91°
Fractional positions:
La (0.000, 0.000, 0.000)
La (0.230, 0.230, 0.623)
Ta (0.750, 0.750, 0.250)
Mo (0.481, 0.481, 0.389)

formation energy from the elements: 0.44 eV/atom
symmetry: Cm (8)
E above lowest polymorph: 0.209 eV/atom
energy: -7.69 eV/atom



(7)
DFT (GGA-PBE) results for a geometry-optimized EuY3B structure.

a = 5.247 Å, b = 5.247 Å, c = 5.247 Å
α = 90.00°, β = 90.00°, γ = 90.00°
Fractional positions:
Eu (0.000, 0.000, 0.000)
Y (0.000, 0.500, 0.500)
Y (0.500, 0.000, 0.500)
Y (0.500, 0.500, 0.000)
B (0.500, 0.500, 0.500)

formation energy from the elements: 0.04 eV/atom
symmetry: Pm-3m (221)
energy: -7.23 eV/atom



(8)
DFT (GGA-PBE) results for a geometry-optimized YAgPb2 structure.

a = 4.789 Å, b = 4.789 Å, c = 4.497 Å
α = 90.00°, β = 90.00°, γ = 90.00°
Fractional positions:
Y (0.000, 0.000, 0.000)
Ag (0.500, 0.500, 0.000)
Pb (0.000, 0.500, 0.500)
Pb (0.500, 0.000, 0.500)

formation energy from the elements: -0.30 eV/atom
symmetry: P4/mmm (123)
energy: -4.48 eV/atom